1.
Below is a geometry-optimized Pr4Er5Al structure, with properties calculated at the PBE level.

abc: 3.594 3.594 24.212
angles: 90.00 90.00 90.00
Atoms (fractional coordinates):
Pr: 0.000 0.000 0.395
Pr: 0.000 0.000 0.605
Pr: 0.000 0.000 0.817
Pr: 0.000 0.000 0.183
Er: 0.500 0.500 0.925
Er: 0.500 0.500 0.289
Er: 0.500 0.500 0.500
Er: 0.500 0.500 0.075
Er: 0.500 0.500 0.711
Al: 0.000 0.000 0.000

For the formation energy, the calculation gives -0.06 eV/atom. The symmetry is P4/mmm (123). The spin magnetization comes out at 0.00 μB per formula unit. Its electronic total energy is -46.30 eV/cell.

2.
Below is a geometry-optimized PrEr2Al2 structure, with properties calculated at the PBE level.

abc: 3.652 5.237 13.649
angles: 90.00 97.69 90.00
Atoms (fractional coordinates):
Er: 0.953 0.250 0.906
Er: 0.232 0.750 0.465
Er: 0.047 0.750 0.094
Er: 0.768 0.250 0.535
Pr: 0.857 0.750 0.711
Pr: 0.143 0.250 0.289
Al: 0.640 0.750 0.281
Al: 0.454 0.750 0.908
Al: 0.546 0.250 0.092
Al: 0.360 0.250 0.719

For the formation energy, the calculation gives -0.28 eV/atom. The symmetry is P2_1/m (11). The spin magnetization comes out at 0.00 μB per formula unit. Its electronic total energy is -45.59 eV/cell.

3.
Below is a geometry-optimized Pr2ErAl structure, with properties calculated at the PBE level.

abc: 4.891 4.870 4.870
angles: 90.00 90.00 90.00
Atoms (fractional coordinates):
Pr: 0.000 0.000 0.500
Pr: 0.000 0.500 0.000
Er: 0.500 0.500 0.500
Al: 0.500 0.000 0.000

For the formation energy, the calculation gives -0.16 eV/atom. The symmetry is P4/mmm (123). The spin magnetization comes out at 0.00 μB per formula unit. Its electronic total energy is -18.50 eV/cell.